A plane-wave DFT calculation with PBE+U was carried out for a relaxed BeV2PbO8 crystal.

For the total energy, the calculation gives -0.24640 hartree per atom.

The structure belongs to space group P-3m1 (No. 164); the cell edges are 5.6067, 5.6067 and 5.6215 Å and the angles 90.00°, 90.00° and 120.00°. The inequivalent atoms are Be at (0.0000, 0.0000, 0.0000), V at (0.3333, 0.6667, 0.2840), Pb at (0.0000, 0.0000, 0.5000), O at (0.1536, 0.3072, 0.2043) and O at (0.3333, 0.6667, 0.5742).